# 1
## Nd2ZnH6Ru (PBE)

Data for Nd2ZnH6Ru after structural relaxation.

a b c (Å): 13.789 13.789 13.789
angles (deg): 19.51 19.51 19.51
Fractional positions:
Nd1 0.129 0.129 0.129
Nd2 0.295 0.295 0.295
Nd3 0.705 0.705 0.705
Nd4 0.871 0.871 0.871
Zn1 0.418 0.418 0.418
Zn2 0.582 0.582 0.582
H1 0.123 0.653 0.653
H2 0.198 0.198 0.675
H3 0.198 0.675 0.198
H4 0.325 0.802 0.802
H5 0.347 0.347 0.877
H6 0.347 0.877 0.347
H7 0.653 0.123 0.653
H8 0.653 0.653 0.123
H9 0.675 0.198 0.198
H10 0.802 0.325 0.802
H11 0.802 0.802 0.325
H12 0.877 0.347 0.347
Ru1 0.000 0.000 0.000
Ru2 0.500 0.500 0.500

Computed properties:
**DOS(E_F)**: 5.83 states/eV/cell
**Space group**: R-3m, No. 166
**Uncorrected energy**: -4.416 eV per atom

=====

# 2
## Nd4HS5 (PBE)

Data for Nd4HS5 after structural relaxation.

a b c (Å): 9.605 9.605 7.518
angles (deg): 112.97 112.97 24.31
Fractional positions:
Nd1 0.000 0.000 0.247
Nd2 0.000 0.000 0.753
Nd3 0.280 0.280 0.279
Nd4 0.720 0.720 0.721
H1 0.500 0.500 0.500
S1 0.163 0.163 0.431
S2 0.163 0.163 0.895
S3 0.500 0.500 0.000
S4 0.837 0.837 0.105
S5 0.837 0.837 0.569

Computed properties:
**DOS(E_F)**: 1.47 states/eV/cell
**Space group**: C2/m, No. 12
**Uncorrected energy**: -5.982 eV per atom

=====

# 3
## NdHS2 (PBE)

Data for NdHS2 after structural relaxation.

a b c (Å): 6.610 6.610 6.610
angles (deg): 37.79 37.79 37.79
Fractional positions:
Nd1 0.000 0.000 0.000
H1 0.500 0.500 0.500
S1 0.411 0.411 0.411
S2 0.589 0.589 0.589

Computed properties:
**Distance to the lowest polymorph of the same formula**: 69 meV per atom
**DOS(E_F)**: 0.00 states/eV/cell
**Space group**: R-3m, No. 166
**Uncorrected energy**: -5.341 eV per atom

=====

# 4
## Nd2HS (PBE)

Data for Nd2HS after structural relaxation.

a b c (Å): 6.718 6.718 6.718
angles (deg): 33.99 33.99 33.99
Fractional positions:
Nd1 0.247 0.247 0.247
Nd2 0.753 0.753 0.753
H1 0.500 0.500 0.500
S1 0.000 0.000 0.000

Computed properties:
**Distance to the lowest polymorph of the same formula**: 0 meV per atom
**DOS(E_F)**: 3.03 states/eV/cell
**Space group**: R-3m, No. 166
**Uncorrected energy**: -5.386 eV per atom

=====

# 5
## NdHS2 (PBE)

Data for NdHS2 after structural relaxation.

a b c (Å): 9.059 9.059 5.526
angles (deg): 90.00 90.00 152.69
Fractional positions:
Nd1 0.180 0.820 0.500
Nd2 0.820 0.180 0.000
H1 0.468 0.532 0.152
H2 0.532 0.468 0.652
S1 0.211 0.789 0.998
S2 0.428 0.572 0.941
S3 0.572 0.428 0.441
S4 0.789 0.211 0.498

Computed properties:
**Distance to the lowest polymorph of the same formula**: 0 meV per atom
**DOS(E_F)**: 0.00 states/eV/cell
**Space group**: Cmc2_1, No. 36
**Uncorrected energy**: -5.410 eV per atom

=====

# 6
## Nd2H4S (PBE)

Data for Nd2H4S after structural relaxation.

a b c (Å): 7.082 7.082 3.837
angles (deg): 90.00 90.00 90.00
Fractional positions:
Nd1 0.217 0.217 0.000
Nd2 0.283 0.717 0.500
Nd3 0.717 0.283 0.500
Nd4 0.783 0.783 0.000
H1 0.093 0.669 0.000
H2 0.169 0.407 0.500
H3 0.331 0.907 0.000
H4 0.407 0.169 0.500
H5 0.593 0.831 0.500
H6 0.669 0.093 0.000
H7 0.831 0.593 0.500
H8 0.907 0.331 0.000
S1 0.000 0.000 0.500
S2 0.500 0.500 0.000

Computed properties:
**DOS(E_F)**: 0.00 states/eV/cell
**Space group**: P4_2/mnm, No. 136
**Uncorrected energy**: -4.839 eV per atom

=====

# 7
## NdHS2 (PBE)

Data for NdHS2 after structural relaxation.

a b c (Å): 5.346 7.647 7.638
angles (deg): 90.00 97.19 90.00
Fractional positions:
Nd1 0.165 0.046 0.300
Nd2 0.165 0.454 0.800
Nd3 0.835 0.546 0.200
Nd4 0.835 0.954 0.700
H1 0.392 0.672 0.549
H2 0.392 0.828 0.049
H3 0.608 0.172 0.951
H4 0.608 0.328 0.451
S1 0.143 0.709 0.501
S2 0.143 0.791 0.001
S3 0.327 0.114 0.674
S4 0.327 0.386 0.174
S5 0.673 0.614 0.826
S6 0.673 0.886 0.326
S7 0.857 0.209 0.999
S8 0.857 0.291 0.499

Computed properties:
**Distance to the lowest polymorph of the same formula**: 31 meV per atom
**DOS(E_F)**: 0.00 states/eV/cell
**Space group**: P2_1/c, No. 14
**Uncorrected energy**: -5.379 eV per atom

=====

# 8
## Nd2HS (PBE)

Data for Nd2HS after structural relaxation.

a b c (Å): 7.127 7.127 7.127
angles (deg): 31.16 31.16 31.16
Fractional positions:
Nd1 0.000 0.000 0.000
Nd2 0.166 0.166 0.166
H1 0.406 0.406 0.406
S1 0.583 0.583 0.583

Computed properties:
**Distance to the lowest polymorph of the same formula**: 125 meV per atom
**DOS(E_F)**: 3.28 states/eV/cell
**Space group**: R3m, No. 160
**Uncorrected energy**: -5.260 eV per atom

=====

# 9
## Nd3Sb2H2 (PBE)

Data for Nd3Sb2H2 after structural relaxation.

a b c (Å): 10.363 10.363 7.925
angles (deg): 90.00 90.00 157.24
Fractional positions:
Nd1 0.086 0.914 0.528
Nd2 0.086 0.914 0.972
Nd3 0.295 0.705 0.750
Nd4 0.705 0.295 0.250
Nd5 0.914 0.086 0.028
Nd6 0.914 0.086 0.472
Sb1 0.327 0.673 0.250
Sb2 0.472 0.528 0.750
Sb3 0.528 0.472 0.250
Sb4 0.673 0.327 0.750
H1 0.182 0.818 0.107
H2 0.182 0.818 0.393
H3 0.818 0.182 0.607
H4 0.818 0.182 0.893

Computed properties:
**Distance to the lowest polymorph of the same formula**: 30 meV per atom
**DOS(E_F)**: 7.74 states/eV/cell
**Space group**: Cmcm, No. 63
**Uncorrected energy**: -4.929 eV per atom

=====

# 10
## Nd12Sb3H5 (PBE)

Data for Nd12Sb3H5 after structural relaxation.

a b c (Å): 14.007 14.007 14.007
angles (deg): 109.47 109.47 109.47
Fractional positions:
Nd1 0.016 0.208 0.112
Nd2 0.016 0.308 0.905
Nd3 0.095 0.612 0.403
Nd4 0.095 0.984 0.692
Nd5 0.097 0.708 0.692
Nd6 0.097 0.888 0.405
Nd7 0.112 0.016 0.208
Nd8 0.112 0.595 0.903
Nd9 0.192 0.208 0.597
Nd10 0.192 0.484 0.595
Nd11 0.208 0.112 0.016
Nd12 0.208 0.597 0.192
Nd13 0.292 0.308 0.903
Nd14 0.292 0.484 0.388
Nd15 0.308 0.903 0.292
Nd16 0.308 0.905 0.016
Nd17 0.388 0.292 0.484
Nd18 0.388 0.597 0.905
Nd19 0.403 0.095 0.612
Nd20 0.403 0.808 0.792
Nd21 0.405 0.097 0.888
Nd22 0.405 0.808 0.516
Nd23 0.484 0.388 0.292
Nd24 0.484 0.595 0.192
Nd25 0.516 0.405 0.808
Nd26 0.516 0.612 0.708
Nd27 0.595 0.192 0.484
Nd28 0.595 0.903 0.112
Nd29 0.597 0.192 0.208
Nd30 0.597 0.905 0.388
Nd31 0.612 0.403 0.095
Nd32 0.612 0.708 0.516
Nd33 0.692 0.095 0.984
Nd34 0.692 0.097 0.708
Nd35 0.708 0.516 0.612
Nd36 0.708 0.692 0.097
Nd37 0.792 0.403 0.808
Nd38 0.792 0.888 0.984
Nd39 0.808 0.516 0.405
Nd40 0.808 0.792 0.403
Nd41 0.888 0.405 0.097
Nd42 0.888 0.984 0.792
Nd43 0.903 0.112 0.595
Nd44 0.903 0.292 0.308
Nd45 0.905 0.016 0.308
Nd46 0.905 0.388 0.597
Nd47 0.984 0.692 0.095
Nd48 0.984 0.792 0.888
Sb1 0.125 0.250 0.375
Sb2 0.125 0.375 0.750
Sb3 0.250 0.375 0.125
Sb4 0.250 0.875 0.625
Sb5 0.375 0.125 0.250
Sb6 0.375 0.750 0.125
Sb7 0.625 0.250 0.875
Sb8 0.625 0.875 0.750
Sb9 0.750 0.125 0.375
Sb10 0.750 0.625 0.875
Sb11 0.875 0.625 0.250
Sb12 0.875 0.750 0.625
H1 0.000 0.000 0.000
H2 0.000 0.000 0.500
H3 0.000 0.500 0.000
H4 0.000 0.500 0.500
H5 0.125 0.750 0.875
H6 0.125 0.875 0.250
H7 0.250 0.125 0.875
H8 0.250 0.625 0.375
H9 0.375 0.250 0.625
H10 0.375 0.625 0.750
H11 0.500 0.000 0.000
H12 0.500 0.000 0.500
H13 0.500 0.500 0.000
H14 0.500 0.500 0.500
H15 0.625 0.375 0.250
H16 0.625 0.750 0.375
H17 0.750 0.375 0.625
H18 0.750 0.875 0.125
H19 0.875 0.125 0.750
H20 0.875 0.250 0.125

Computed properties:
**DOS(E_F)**: 71.51 states/eV/cell
**Space group**: Ia-3d, No. 230
**Uncorrected energy**: -4.751 eV per atom

=====

# 11
## Nd5Sb2H2 (PBE)

Data for Nd5Sb2H2 after structural relaxation.

a b c (Å): 7.175 7.175 6.920
angles (deg): 109.39 109.39 43.95
Fractional positions:
Nd1 0.000 0.000 0.000
Nd2 0.151 0.151 0.557
Nd3 0.340 0.340 0.118
Nd4 0.660 0.660 0.882
Nd5 0.849 0.849 0.443
Sb1 0.403 0.403 0.692
Sb2 0.597 0.597 0.308
H1 0.157 0.157 0.894
H2 0.843 0.843 0.106

Computed properties:
**DOS(E_F)**: 6.41 states/eV/cell
**Space group**: C2/m, No. 12
**Uncorrected energy**: -4.880 eV per atom

=====

# 12
## Nd5Sb4H (PBE)

Data for Nd5Sb4H after structural relaxation.

a b c (Å): 7.715 7.715 7.715
angles (deg): 99.74 99.74 131.44
Fractional positions:
Nd1 0.000 0.000 0.000
Nd2 0.261 0.667 0.800
Nd3 0.461 0.261 0.594
Nd4 0.667 0.867 0.406
Nd5 0.867 0.461 0.200
Sb1 0.162 0.362 0.397
Sb2 0.362 0.965 0.200
Sb3 0.765 0.162 0.800
Sb4 0.965 0.765 0.603
H1 0.626 0.626 0.000

Computed properties:
**DOS(E_F)**: 4.41 states/eV/cell
**Space group**: I4, No. 79
**Uncorrected energy**: -5.301 eV per atom